Entry from the Open Quantum Materials Database: an optimized crystal structure of RbMg2Cd2Sb3 (PBE-GGA).

CIF file:
```
data_RbMg2Cd2Sb3
_chemical_formula_sum 'Rb1 Mg2 Cd2 Sb3'
_symmetry_space_group_name_H-M 'P -4 m 2'
_symmetry_Int_Tables_number 115
_cell_length_a 4.726
_cell_length_b 4.726
_cell_length_c 11.267
_cell_angle_alpha 90.00
_cell_angle_beta 90.00
_cell_angle_gamma 90.00
loop_
_symmetry_equiv_pos_as_xyz
'x,y,z'
'y,-x,-z'
'-x,-y,z'
'-y,x,-z'
'-x,y,z'
'-y,-x,-z'
'x,-y,z'
'y,x,-z'
loop_
_atom_site_label
_atom_site_type_symbol
_atom_site_fract_x
_atom_site_fract_y
_atom_site_fract_z
_atom_site_occupancy
Rb1 Rb 0.000 0.000 0.000 1
Mg1 Mg 0.000 0.500 0.333 1
Cd1 Cd 0.000 0.500 0.667 1
Sb1 Sb 0.000 0.000 0.500 1
Sb2 Sb 0.500 0.500 0.187 1
```

Properties
* energy relative to the lowest polymorph listed for this composition: 0.03 kcal/mol of atoms
* total energy: -0.1929 Ry/atom

---

Entry from the Open Quantum Materials Database: an optimized crystal structure of Er6TmLu (PBE-GGA).

CIF file:
```
data_Er6TmLu
_chemical_formula_sum 'Er6 Tm1 Lu1'
_symmetry_space_group_name_H-M 'P -6 m 2'
_symmetry_Int_Tables_number 187
_symmetry_space_group_name_Hall 'P -6 2'
_cell_length_a 7.1220
_cell_length_b 7.1220
_cell_length_c 5.5144
_cell_angle_alpha 90.00
_cell_angle_beta 90.00
_cell_angle_gamma 120.00
loop_
_atom_site_label
_atom_site_type_symbol
_atom_site_fract_x
_atom_site_fract_y
_atom_site_fract_z
_atom_site_occupancy
Er1 Er 0.9995 0.4998 0.0000 1
Er2 Er 0.1666 0.3332 0.5000 1
Tm1 Tm 0.6667 0.3333 0.5000 1
Lu1 Lu 0.0000 0.0000 0.0000 1
```

Properties
* E_form: 0.00 eV/atom
* total energy: -0.3343 Ry/atom